1.
Crystalline Pr3Nd2UN6 at its relaxed geometry, computed with PBE-GGA.

Values from the calculation:
Magnetization: 0.000 μB per atom
E_form (uncorrected): -1.406 eV per atom
Crystal system: monoclinic
Symmetry: C2/m (12)

Cell: 6.260 6.260 6.273 Å, 99.59 99.59 119.92°
Fractional coordinates of all 12 atoms:
N 0.224 0.224 0.771
N 0.925 0.627 0.776
N 0.075 0.373 0.224
N 0.627 0.925 0.776
N 0.776 0.776 0.229
N 0.373 0.075 0.224
Pr 0.834 0.166 0.500
Pr 0.500 0.500 0.500
Pr 0.166 0.834 0.500
Nd 0.334 0.666 0.000
Nd 0.666 0.334 0.000
U 0.000 0.000 0.000

=====

2.
Crystalline PrNdVN3 at its relaxed geometry, computed with PBE-GGA.

Values from the calculation:
Magnetization: 0.000 μB per atom
E_form (uncorrected): -1.219 eV per atom
Crystal system: monoclinic
Symmetry: C2/m (12)

Cell: 3.887 6.886 7.145 Å, 105.04 90.00 106.39°
Fractional coordinates of all 12 atoms:
N 0.156 0.312 0.330
N 0.844 0.688 0.670
N 0.500 0.000 0.254
N 0.155 0.311 0.826
N 0.845 0.689 0.174
N 0.500 0.000 0.746
Nd 0.647 0.293 0.573
Nd 0.353 0.707 0.427
V 0.000 0.000 0.745
V 0.000 0.000 0.255
Pr 0.645 0.291 0.073
Pr 0.355 0.709 0.927

=====

3.
Crystalline Pr2NdWN4 at its relaxed geometry, computed with PBE-GGA.

Values from the calculation:
Magnetization: 0.000 μB per atom
E_form (uncorrected): -0.902 eV per atom
Crystal system: orthorhombic
Symmetry: Cmcm (63)

Cell: 3.479 6.365 12.611 Å, 90.00 90.00 105.86°
Fractional coordinates of all 16 atoms:
Pr 0.369 0.737 0.962
Pr 0.631 0.263 0.038
Pr 0.631 0.263 0.462
Pr 0.369 0.737 0.538
N 0.270 0.540 0.133
N 0.270 0.540 0.367
N 0.572 0.144 0.250
N 0.730 0.460 0.867
N 0.730 0.460 0.633
N 0.428 0.856 0.750
N 0.000 0.000 0.000
N 0.000 0.000 0.500
W 0.827 0.653 0.750
W 0.173 0.347 0.250
Nd 0.915 0.829 0.250
Nd 0.085 0.171 0.750

=====

no.,N(E_F) (states/eV/f.u.)
1,5.3
2,1.0
3,3.1